LiY6Ru5 | PBE-GGA | relaxed

Output
Total energy (eV/atom): -7.546
Energy of formation from the pure elements (eV per atom): -0.290
V (Å³/cell): 243.5
Space-group type: Cmmm (65)

a = 7.6838 Å, b = 7.6838 Å, c = 6.8636 Å
α = 90.00°, β = 90.00°, γ = 143.06°
Last column: nearest neighbours and their distance in Å.
Atoms (fractional coordinates):
1 Li 0.0000 0.0000 0.0000  8 Y 3.02-3.04
2 Y 0.1708 0.8292 0.2534  7 Ru 2.91-3.01, 1 Li 3.04
3 Y 0.1708 0.8292 0.7466  7 Ru 2.91-3.01, 1 Li 3.04
4 Y 0.5000 0.5000 0.2595  6 Ru 2.94-2.96, 2 Li 3.02
5 Y 0.5000 0.5000 0.7405  6 Ru 2.94-2.96, 2 Li 3.02
6 Y 0.8292 0.1708 0.2534  7 Ru 2.91-3.01, 1 Li 3.04
7 Y 0.8292 0.1708 0.7466  7 Ru 2.91-3.01, 1 Li 3.04
8 Ru 0.0000 0.0000 0.5000  8 Y 2.94-3.01
9 Ru 0.3333 0.6667 0.5000  8 Y 2.91-2.97
10 Ru 0.3376 0.6624 0.0000  8 Y 2.96-2.99
11 Ru 0.6624 0.3376 0.0000  8 Y 2.96-2.99
12 Ru 0.6667 0.3333 0.5000  8 Y 2.91-2.97

=====

Li3YRu | PBE-GGA | relaxed

Output
Total energy (eV/atom): -3.789
Energy of formation from the pure elements (eV per atom): 0.508
V (Å³/cell): 97.1
Space-group type: Pm-3m (221)

a = 4.5959 Å, b = 4.5959 Å, c = 4.5959 Å
α = 90.00°, β = 90.00°, γ = 90.00°
Last column: nearest neighbours and their distance in Å.
Atoms (fractional coordinates):
1 Li 0.0000 0.0000 0.5000  2 Ru 2.30
2 Li 0.0000 0.5000 0.0000  2 Ru 2.30
3 Li 0.5000 0.0000 0.0000  2 Ru 2.30
4 Y 0.5000 0.5000 0.5000  12 Li 3.25
5 Ru 0.0000 0.0000 0.0000  6 Li 2.30

=====

Li2YRu | PBE-GGA | relaxed

Output
Total energy (eV/atom): -4.391
Energy of formation from the pure elements (eV per atom): 0.501
V (Å³/cell): 74.7
Space-group type: Cmmm (65)

a = 2.8428 Å, b = 2.8428 Å, c = 10.1329 Å
α = 90.00°, β = 90.00°, γ = 114.25°
Last column: nearest neighbours and their distance in Å.
Atoms (fractional coordinates):
1 Li 0.0000 0.0000 0.2087  2 Ru 2.62, 4 Li 2.84
2 Li 0.0000 0.0000 0.7913  2 Ru 2.62, 4 Li 2.84
3 Y 0.5000 0.5000 0.5000  6 Y 2.84-3.09
4 Ru 0.5000 0.5000 0.0000  4 Li 2.62, 4 Ru 2.84

=====

LiY3Ru2 | PBE-GGA | relaxed

Output
Total energy (eV/atom): -6.914
Energy of formation from the pure elements (eV per atom): -0.271
V (Å³/cell): 134.3
Space-group type: P4/mmm (123)

a = 3.4294 Å, b = 3.4294 Å, c = 11.4163 Å
α = 90.00°, β = 90.00°, γ = 90.00°
Last column: nearest neighbours and their distance in Å.
Atoms (fractional coordinates):
1 Li 0.0000 0.0000 0.0000  8 Y 3.38, 4 Li 3.43
2 Y 0.5000 0.5000 0.2058  4 Ru 2.89
3 Y 0.5000 0.5000 0.5000  8 Ru 3.01, 2 Y 3.36
4 Y 0.5000 0.5000 0.7942  4 Ru 2.89
5 Ru 0.0000 0.0000 0.3432  8 Y 2.89-3.01
6 Ru 0.0000 0.0000 0.6568  8 Y 2.89-3.01

=====

Li2YRu | PBE-GGA | relaxed

Output
Total energy (eV/atom): -4.816
Energy of formation from the pure elements (eV per atom): 0.076
V (Å³/cell): 74.6
Space-group type: P4/mmm (123)

a = 3.9379 Å, b = 3.9379 Å, c = 4.8130 Å
α = 90.00°, β = 90.00°, γ = 90.00°
Last column: nearest neighbours and their distance in Å.
Atoms (fractional coordinates):
1 Li 0.0000 0.5000 0.0000  4 Li 2.78, 4 Ru 3.11, 4 Y 3.11
2 Li 0.5000 0.0000 0.0000  4 Li 2.78, 4 Ru 3.11, 4 Y 3.11
3 Y 0.0000 0.0000 0.5000  4 Ru 2.78, 8 Li 3.11
4 Ru 0.5000 0.5000 0.5000  4 Y 2.78, 8 Li 3.11

=====

LiY4Ru | PBE-GGA | relaxed

Output
Total energy (eV/atom): -5.371
Energy of formation from the pure elements (eV per atom): 0.803
V (Å³/cell): 166.8
Space-group type: F-43m (216)

a = 6.1792 Å, b = 6.1792 Å, c = 6.1792 Å
α = 60.00°, β = 60.00°, γ = 60.00°
Last column: nearest neighbours and their distance in Å.
Atoms (fractional coordinates):
1 Li 0.0000 0.0000 0.0000  12 Y 3.63, 4 Ru 3.78
2 Y 0.3765 0.3765 0.3765  6 Y 3.05-3.13
3 Y 0.3765 0.3765 0.8704  6 Y 3.05-3.13
4 Y 0.3765 0.8704 0.3765  6 Y 3.05-3.13
5 Y 0.8704 0.3765 0.3765  6 Y 3.05-3.13
6 Ru 0.7500 0.7500 0.7500  12 Y 3.62, 4 Li 3.78

=====

Li2YRu | PBE-GGA | relaxed

Output
Total energy (eV/atom): -4.802
Energy of formation from the pure elements (eV per atom): 0.089
V (Å³/cell): 72.3
Space-group type: Imm2 (44)

a = 4.6800 Å, b = 4.6800 Å, c = 4.6800 Å
α = 120.27°, β = 120.03°, γ = 89.74°
Last column: nearest neighbours and their distance in Å.
Atoms (fractional coordinates):
1 Li 0.0000 0.0000 0.0000  4 Li 2.86-2.87, 4 Y 2.86-2.87
2 Li 0.7511 0.2511 0.5000  4 Li 2.86-2.87, 4 Ru 2.86-2.87
3 Y 0.2514 0.7514 0.5000  4 Li 2.86-2.87, 4 Ru 2.86
4 Ru 0.5021 0.5021 0.0000  4 Li 2.86-2.87, 4 Y 2.86

=====

Li2YRu | PBE-GGA | relaxed

Output
Total energy (eV/atom): -4.752
Energy of formation from the pure elements (eV per atom): 0.140
V (Å³/cell): 66.3
Space-group type: Fm-3m (225)

a = 4.5437 Å, b = 4.5437 Å, c = 4.5437 Å
α = 60.00°, β = 60.00°, γ = 60.00°
Last column: nearest neighbours and their distance in Å.
Atoms (fractional coordinates):
1 Li 0.2500 0.2500 0.2500  4 Ru 2.78, 4 Y 2.78
2 Li 0.7500 0.7500 0.7500  4 Y 2.78, 4 Ru 2.78
3 Y 0.0000 0.0000 0.0000  8 Li 2.78
4 Ru 0.5000 0.5000 0.5000  8 Li 2.78

=====

LiY4Ru3 | PBE-GGA | relaxed

Output
Total energy (eV/atom): -7.245
Energy of formation from the pure elements (eV per atom): -0.296
V (Å³/cell): 164.7
Space-group type: P4/mmm (123)

a = 4.8621 Å, b = 4.8621 Å, c = 6.9687 Å
α = 90.00°, β = 90.00°, γ = 90.00°
Last column: nearest neighbours and their distance in Å.
Atoms (fractional coordinates):
1 Li 0.0000 0.0000 0.0000  8 Y 3.04
2 Y 0.0000 0.5000 0.2608  6 Ru 2.95-3.04, 2 Li 3.04
3 Y 0.0000 0.5000 0.7392  6 Ru 2.95-3.04, 2 Li 3.04
4 Y 0.5000 0.0000 0.2608  6 Ru 2.95-3.04, 2 Li 3.04
5 Y 0.5000 0.0000 0.7392  6 Ru 2.95-3.04, 2 Li 3.04
6 Ru 0.0000 0.0000 0.5000  8 Y 2.95
7 Ru 0.5000 0.5000 0.0000  8 Y 3.04
8 Ru 0.5000 0.5000 0.5000  8 Y 2.95

=====

LiY5Ru4 | PBE-GGA | relaxed

Output
Total energy (eV/atom): -7.407
Energy of formation from the pure elements (eV per atom): -0.273
V (Å³/cell): 213.5
Space-group type: P4/mmm (123)

a = 3.4277 Å, b = 3.4277 Å, c = 18.1686 Å
α = 90.00°, β = 90.00°, γ = 90.00°
Last column: nearest neighbours and their distance in Å.
Atoms (fractional coordinates):
1 Li 0.0000 0.0000 0.0000  8 Y 3.37, 4 Li 3.43
2 Y 0.5000 0.5000 0.1285  4 Ru 2.87
3 Y 0.5000 0.5000 0.3138  8 Ru 2.94-3.04
4 Y 0.5000 0.5000 0.5000  8 Ru 2.97
5 Y 0.5000 0.5000 0.6862  8 Ru 2.94-3.04
6 Y 0.5000 0.5000 0.8715  4 Ru 2.87
7 Ru 0.0000 0.0000 0.2132  8 Y 2.87-3.04
8 Ru 0.0000 0.0000 0.4059  8 Y 2.94-2.97
9 Ru 0.0000 0.0000 0.5941  8 Y 2.94-2.97
10 Ru 0.0000 0.0000 0.7868  8 Y 2.87-3.04

=====

LiYRu | PBE-GGA | relaxed

Output
Total energy (eV/atom): -5.219
Energy of formation from the pure elements (eV per atom): 0.665
V (Å³/cell): 65.2
Space-group type: F-43m (216)

a = 4.5185 Å, b = 4.5185 Å, c = 4.5185 Å
α = 60.00°, β = 60.00°, γ = 60.00°
Last column: nearest neighbours and their distance in Å.
Atoms (fractional coordinates):
1 Li 0.0000 0.0000 0.0000  4 Y 2.77
2 Y 0.7500 0.7500 0.7500  4 Li 2.77, 4 Ru 2.77
3 Ru 0.5000 0.5000 0.5000  4 Y 2.77

=====

LiYRu | PBE-GGA | relaxed

Output
Total energy (eV/atom): -5.904
Energy of formation from the pure elements (eV per atom): -0.020
V (Å³/cell): 54.3
Space-group type: I4mm (107)

a = 5.0885 Å, b = 5.0885 Å, c = 5.0885 Å
α = 139.86°, β = 139.86°, γ = 58.06°
Last column: nearest neighbours and their distance in Å.
Atoms (fractional coordinates):
1 Li 0.0000 0.0000 0.0000  1 Y 2.70, 4 Ru 2.73
2 Y 0.6965 0.6965 0.0000  1 Li 2.70, 5 Ru 2.91-2.92
3 Ru 0.3688 0.3688 0.0000  4 Li 2.73, 5 Y 2.91-2.92

=====

LiY2Ru2 | PBE-GGA | relaxed

Output
Total energy (eV/atom): -6.767
Energy of formation from the pure elements (eV per atom): -0.088
V (Å³/cell): 206.0
Space-group type: P4/mbm (127)

a = 7.0620 Å, b = 7.0620 Å, c = 4.1301 Å
α = 90.00°, β = 90.00°, γ = 90.00°
Last column: nearest neighbours and their distance in Å.
Atoms (fractional coordinates):
1 Li 0.0000 0.0000 0.0000  4 Ru 2.78
2 Li 0.5000 0.5000 0.0000  4 Ru 2.78
3 Y 0.1738 0.3262 0.5000  6 Ru 2.86-2.99
4 Y 0.3262 0.8262 0.5000  6 Ru 2.86-2.99
5 Y 0.6738 0.1738 0.5000  6 Ru 2.86-2.99
6 Y 0.8262 0.6738 0.5000  6 Ru 2.86-2.99
7 Ru 0.1283 0.6283 0.0000  1 Ru 2.56, 2 Li 2.78, 2 Y 2.86
8 Ru 0.3717 0.1283 0.0000  1 Ru 2.56, 2 Li 2.78, 2 Y 2.86
9 Ru 0.6283 0.8717 0.0000  1 Ru 2.56, 2 Li 2.78, 2 Y 2.86
10 Ru 0.8717 0.3717 0.0000  1 Ru 2.56, 2 Li 2.78, 2 Y 2.86